The following is a PBE calculation of a geometry-optimized Pm2Nd5SmHo structure, from Alexandria via LeMat-Bulk.

abc: 8.817 8.817 10.202
angles: 115.60 115.60 90.00
Element x y z (fractional)
Ho: 0.250 0.750 0.500
Nd: 0.149 0.071 0.720
Pm: 0.618 0.118 0.000
Nd: 0.649 0.149 0.720
Nd: 0.071 0.571 0.720
Pm: 0.882 0.618 0.000
Pm: 0.382 0.882 0.000
Nd: 0.351 0.851 0.280
Nd: 0.929 0.429 0.280
Sm: 0.750 0.750 0.500
Nd: 0.500 0.500 0.000
Nd: 0.000 0.000 0.000
Nd: 0.429 0.351 0.280
Nd: 0.571 0.649 0.720
Pm: 0.118 0.382 0.000
Sm: 0.250 0.250 0.500
Nd: 0.851 0.929 0.280
Ho: 0.750 0.250 0.500

Summary:
Volume (A^3/atom): 34.9
Calculated total energy (eV/atom): -4.460
Energy of formation from the pure elements (kJ/mol of atoms): 27